# 1
Compound: Mg2Ni3Sb2
Source: the Alexandria database
Functional: PBE
Structure: relaxed

Cell lengths 4.357, 4.396, 7.523 Å; angles 73.09, 73.21, 60.56 degrees
Space group P-1 (No. 2)
Inequivalent atoms, fractional coordinates:
Mg (0.131, 0.131, 0.107)
Ni (0.000, 0.000, 0.500)
Ni (0.261, 0.258, 0.718)
Sb (0.391, 0.388, 0.331)

Computed properties:
Crystal system   triclinic
Total magnetic moment   0.0 μB per formula unit
DOS(E_F)   3.43 states/eV/cell
Calculated total energy   -4.288 eV/atom
Formation energy from raw total energies   -0.18 eV/atom

=====

# 2
Compound: Mg2Ni2Sb
Source: the Alexandria database
Functional: PBE
Structure: relaxed

Cell lengths 6.507, 6.507, 4.019 Å; angles 90.00, 90.00, 90.00 degrees
Space group P4/mbm (No. 127)
Inequivalent atoms, fractional coordinates:
Mg (0.162, 0.338, 0.000)
Ni (0.134, 0.634, 0.500)
Sb (0.000, 0.000, 0.500)

Computed properties:
Crystal system   tetragonal
Total magnetic moment   0.0 μB per formula unit
DOS(E_F)   7.18 states/eV/cell
Polymorph energy (0 for the lowest one)   0.0059 eV per atom
Calculated total energy   -3.985 eV/atom
Formation energy from raw total energies   -0.21 eV/atom

=====

# 3
Compound: MgNi2Sb2
Source: the Alexandria database
Functional: PBE
Structure: relaxed

Cell lengths 7.047, 7.047, 3.604 Å; angles 90.00, 90.00, 90.00 degrees
Space group P4/mbm (No. 127)
Inequivalent atoms, fractional coordinates:
Mg (0.000, 0.000, 0.000)
Ni (0.127, 0.373, 0.000)
Sb (0.170, 0.670, 0.500)

Computed properties:
Crystal system   tetragonal
Total magnetic moment   0.0 μB per formula unit
DOS(E_F)   7.29 states/eV/cell
Calculated total energy   -4.374 eV/atom
Formation energy from raw total energies   -0.09 eV/atom

=====

# 4
Compound: MgNi15Sb4
Source: the Alexandria database
Functional: PBE
Structure: relaxed

Cell lengths 3.727, 3.727, 18.449 Å; angles 90.00, 90.00, 90.00 degrees
Space group P4/mmm (No. 123)
Inequivalent atoms, fractional coordinates:
Mg (0.000, 0.000, 0.000)
Ni (0.000, 0.500, 0.098)
Ni (0.000, 0.500, 0.299)
Ni (0.000, 0.500, 0.500)
Ni (0.500, 0.500, 0.000)
Ni (0.500, 0.500, 0.201)
Ni (0.500, 0.500, 0.400)
Sb (0.000, 0.000, 0.194)
Sb (0.000, 0.000, 0.398)

Computed properties:
Crystal system   tetragonal
Total magnetic moment   0.0 μB per formula unit
DOS(E_F)   14.18 states/eV/cell
Calculated total energy   -5.384 eV/atom
Formation energy from raw total energies   -0.14 eV/atom

=====

# 5
Compound: MgNiSb4
Source: the Alexandria database
Functional: PBE
Structure: relaxed

Cell lengths 8.679, 8.679, 8.679 Å; angles 90.00, 90.00, 90.00 degrees
Space group F-43m (No. 216)
Inequivalent atoms, fractional coordinates:
Mg (0.000, 0.000, 0.000)
Ni (0.250, 0.250, 0.750)
Sb (0.125, 0.125, 0.375)

Computed properties:
Crystal system   cubic
Total magnetic moment   0.9 μB per formula unit
DOS(E_F)   32.69 states/eV/cell
Calculated total energy   -3.378 eV/atom
Formation energy from raw total energies   0.60 eV/atom

=====

# 6
Compound: MgNi6Sb
Source: the Alexandria database
Functional: PBE
Structure: relaxed

Cell lengths 7.394, 10.422, 10.411 Å; angles 90.00, 90.00, 90.00 degrees
Space group Cmmm (No. 65)
Inequivalent atoms, fractional coordinates:
Mg (0.000, 0.000, 0.246)
Mg (0.000, 0.249, 0.000)
Ni (0.000, 0.000, 0.000)
Ni (0.000, 0.000, 0.500)
Ni (0.000, 0.248, 0.249)
Ni (0.000, 0.500, 0.000)
Ni (0.000, 0.500, 0.500)
Ni (0.249, 0.126, 0.124)
Ni (0.249, 0.376, 0.374)
Sb (0.000, 0.246, 0.500)
Sb (0.000, 0.500, 0.244)

Computed properties:
Crystal system   orthorhombic
Total magnetic moment   0.8 μB per formula unit
DOS(E_F)   68.40 states/eV/cell
Calculated total energy   -5.181 eV/atom
Formation energy from raw total energies   -0.13 eV/atom

=====

# 7
Compound: Mg3NiSb
Source: the Alexandria database
Functional: PBE
Structure: relaxed

Cell lengths 4.815, 4.815, 4.815 Å; angles 90.00, 90.00, 90.00 degrees
Space group Pm-3m (No. 221)
Inequivalent atoms, fractional coordinates:
Mg (0.000, 0.000, 0.500)
Ni (0.000, 0.000, 0.000)
Sb (0.500, 0.500, 0.500)

Computed properties:
Crystal system   cubic
Total magnetic moment   0.0 μB per formula unit
DOS(E_F)   2.52 states/eV/cell
Polymorph energy (0 for the lowest one)   0.0000 eV per atom
Calculated total energy   -2.904 eV/atom
Formation energy from raw total energies   0.03 eV/atom

=====

# 8
Compound: Mg6NiSb
Source: the Alexandria database
Functional: PBE
Structure: relaxed

Cell lengths 4.845, 6.373, 10.620 Å; angles 90.00, 90.00, 90.00 degrees
Space group Amm2 (No. 38)
Inequivalent atoms, fractional coordinates:
Mg (0.000, 0.000, 0.000)
Mg (0.000, 0.000, 0.490)
Mg (0.000, 0.229, 0.251)
Mg (0.500, 0.247, 0.574)
Ni (0.500, 0.000, 0.331)
Sb (0.500, 0.000, 0.826)

Computed properties:
Crystal system   orthorhombic
Total magnetic moment   0.0 μB per formula unit
DOS(E_F)   5.61 states/eV/cell
Polymorph energy (0 for the lowest one)   0.0040 eV per atom
Calculated total energy   -2.460 eV/atom
Formation energy from raw total energies   -0.03 eV/atom

=====

# 9
Compound: MgNi9Sb2
Source: the Alexandria database
Functional: PBE
Structure: relaxed

Cell lengths 3.718, 3.718, 11.014 Å; angles 90.00, 90.00, 90.00 degrees
Space group P4/mmm (No. 123)
Inequivalent atoms, fractional coordinates:
Mg (0.000, 0.000, 0.000)
Ni (0.000, 0.500, 0.164)
Ni (0.000, 0.500, 0.500)
Ni (0.500, 0.500, 0.000)
Ni (0.500, 0.500, 0.336)
Sb (0.000, 0.000, 0.327)

Computed properties:
Crystal system   tetragonal
Total magnetic moment   0.1 μB per formula unit
DOS(E_F)   9.78 states/eV/cell
Polymorph energy (0 for the lowest one)   0.0000 eV per atom
Calculated total energy   -5.300 eV/atom
Formation energy from raw total energies   -0.14 eV/atom

=====

# 10
Compound: Mg2Ni2Sb
Source: the Alexandria database
Functional: PBE
Structure: relaxed

Cell lengths 4.309, 4.363, 9.271 Å; angles 90.00, 90.00, 90.00 degrees
Space group Pmmn (No. 59, origin choice 2)
Inequivalent atoms, fractional coordinates:
Mg (0.250, 0.250, 0.003)
Mg (0.250, 0.250, 0.675)
Ni (0.250, 0.750, 0.503)
Ni (0.250, 0.750, 0.818)
Sb (0.250, 0.250, 0.333)

Computed properties:
Crystal system   orthorhombic
Total magnetic moment   0.0 μB per formula unit
DOS(E_F)   4.63 states/eV/cell
Polymorph energy (0 for the lowest one)   0.0000 eV per atom
Calculated total energy   -3.991 eV/atom
Formation energy from raw total energies   -0.22 eV/atom

=====

# 11
Compound: SrMg2NiSb
Source: the Alexandria database
Functional: PBE
Structure: relaxed

Cell lengths 5.301, 5.301, 6.247 Å; angles 90.00, 90.00, 90.00 degrees
Space group P4/mmm (No. 123)
Inequivalent atoms, fractional coordinates:
Sr (0.000, 0.000, 0.000)
Mg (0.000, 0.500, 0.500)
Ni (0.500, 0.500, 0.000)
Sb (0.000, 0.000, 0.500)

Computed properties:
Crystal system   tetragonal
Total magnetic moment   0.2 μB per formula unit
DOS(E_F)   5.04 states/eV/cell
Calculated total energy   -2.450 eV/atom
Formation energy from raw total energies   0.50 eV/atom

=====

# 12
Compound: MgNiSbTe2
Source: the Alexandria database
Functional: PBE
Structure: relaxed

Cell lengths 5.334, 5.334, 4.723 Å; angles 90.00, 90.00, 90.00 degrees
Space group P4/mmm (No. 123)
Inequivalent atoms, fractional coordinates:
Mg (0.000, 0.000, 0.000)
Ni (0.500, 0.500, 0.500)
Sb (0.500, 0.500, 0.000)
Te (0.000, 0.500, 0.500)

Computed properties:
Crystal system   tetragonal
Total magnetic moment   0.0 μB per formula unit
DOS(E_F)   4.21 states/eV/cell
Polymorph energy (0 for the lowest one)   0.0000 eV per atom
Calculated total energy   -3.404 eV/atom
Formation energy from raw total energies   0.15 eV/atom

=====

# 13
Compound: MgNiSbTe2
Source: the Alexandria database
Functional: PBE
Structure: relaxed

Cell lengths 5.400, 5.400, 5.280 Å; angles 90.00, 90.00, 90.00 degrees
Space group P4/mmm (No. 123)
Inequivalent atoms, fractional coordinates:
Mg (0.000, 0.000, 0.000)
Ni (0.500, 0.500, 0.500)
Sb (0.000, 0.000, 0.500)
Te (0.000, 0.500, 0.000)

Computed properties:
Crystal system   tetragonal
Total magnetic moment   0.8 μB per formula unit
DOS(E_F)   9.22 states/eV/cell
Polymorph energy (0 for the lowest one)   0.7241 eV per atom
Calculated total energy   -2.680 eV/atom
Formation energy from raw total energies   0.88 eV/atom

=====

# 14
Compound: YMgNi2Sb
Source: the Alexandria database
Functional: PBE
Structure: relaxed

Cell lengths 4.770, 4.770, 5.618 Å; angles 90.00, 90.00, 90.00 degrees
Space group P4/mmm (No. 123)
Inequivalent atoms, fractional coordinates:
Y (0.000, 0.000, 0.000)
Mg (0.500, 0.500, 0.000)
Ni (0.000, 0.500, 0.500)
Sb (0.000, 0.000, 0.500)

Computed properties:
Crystal system   tetragonal
Total magnetic moment   0.0 μB per formula unit
DOS(E_F)   6.37 states/eV/cell
Calculated total energy   -4.315 eV/atom
Formation energy from raw total energies   0.43 eV/atom

=====

# 15
Compound: Mg4ScNi
Source: the Alexandria database
Functional: PBE
Structure: relaxed

Cell lengths 7.912, 7.912, 7.912 Å; angles 90.00, 90.00, 90.00 degrees
Space group F-43m (No. 216)
Inequivalent atoms, fractional coordinates:
Mg (0.125, 0.125, 0.125)
Sc (0.000, 0.000, 0.500)
Ni (0.250, 0.250, 0.750)

Computed properties:
Crystal system   cubic
Total magnetic moment   0.6 μB per formula unit
Energy relative to the elements   0.248 eV/atom
DOS(E_F)   19.03 states/eV/cell
Calculated total energy   -2.834 eV/atom

=====

# 16
Compound: Mg2Sc2Ni
Source: the Alexandria database
Functional: PBE
Structure: relaxed

Cell lengths 6.517, 6.517, 4.905 Å; angles 90.00, 90.00, 90.00 degrees
Space group P4/mbm (No. 127)
Inequivalent atoms, fractional coordinates:
Mg (0.148, 0.352, 0.000)
Sc (0.175, 0.675, 0.500)
Ni (0.000, 0.000, 0.000)

Computed properties:
Crystal system   tetragonal
Total magnetic moment   1.0 μB per formula unit
Energy relative to the elements   0.116 eV/atom
DOS(E_F)   14.32 states/eV/cell
Polymorph energy (0 for the lowest one)   0.3593 eV per atom
Calculated total energy   -4.210 eV/atom

=====

# 17
Compound: Mg9Sc11Ni4
Source: the Alexandria database
Functional: PBE
Structure: relaxed

Cell lengths 14.114, 21.130, 3.340 Å; angles 90.00, 90.00, 90.00 degrees
Space group Cmmm (No. 65)
Inequivalent atoms, fractional coordinates:
Mg (0.000, 0.000, 0.000)
Mg (0.107, 0.243, 0.000)
Mg (0.150, 0.429, 0.000)
Sc (0.000, 0.129, 0.500)
Sc (0.000, 0.348, 0.500)
Sc (0.000, 0.500, 0.500)
Sc (0.186, 0.000, 0.500)
Sc (0.246, 0.166, 0.500)
Ni (0.147, 0.100, 0.000)

Computed properties:
Crystal system   orthorhombic
Total magnetic moment   0.6 μB per formula unit
Energy relative to the elements   -0.213 eV/atom
DOS(E_F)   48.23 states/eV/cell
Calculated total energy   -4.677 eV/atom

=====

# 18
Compound: MgSc4Ni2
Source: the Alexandria database
Functional: PBE
Structure: relaxed

Cell lengths 4.4164, 4.4164, 26.4649 Å; angles 90.00, 90.00, 120.00 degrees
Space group R-3m (No. 166, hexagonal axes)
Inequivalent atoms, fractional coordinates:
Mg (0.0000, 0.0000, 0.0000)
Sc (0.0000, 0.0000, 0.2000)
Sc (0.0000, 0.0000, 0.3985)
Ni (0.0000, 0.0000, 0.0992)

Computed properties:
Crystal system   trigonal
Total magnetic moment   0.0 μB per formula unit
Energy relative to the elements   -0.095 eV/atom
DOS(E_F)   24.26 states/eV/cell
Calculated total energy   -5.593 eV/atom

=====

# 19
Compound: MgSc4Ni
Source: the Alexandria database
Functional: PBE
Structure: relaxed

Cell lengths 8.122, 8.122, 8.122 Å; angles 90.00, 90.00, 90.00 degrees
Space group F-43m (No. 216)
Inequivalent atoms, fractional coordinates:
Mg (0.000, 0.000, 0.000)
Sc (0.124, 0.124, 0.376)
Ni (0.250, 0.250, 0.750)

Computed properties:
Crystal system   cubic
Total magnetic moment   0.0 μB per formula unit
Energy relative to the elements   0.436 eV/atom
DOS(E_F)   31.36 states/eV/cell
Polymorph energy (0 for the lowest one)   0.6240 eV per atom
Calculated total energy   -5.014 eV/atom

=====

# 20
Compound: MgSc8Ni2
Source: the Alexandria database
Functional: PBE
Structure: relaxed

Cell lengths 16.448, 3.335, 8.940 Å; angles 90.00, 101.28, 90.00 degrees
Space group C2/m (No. 12)
Inequivalent atoms, fractional coordinates:
Mg (0.000, 0.000, 0.000)
Sc (0.023, 0.500, 0.679)
Sc (0.148, 0.500, 0.200)
Sc (0.155, 0.000, 0.509)
Sc (0.174, 0.000, 0.891)
Ni (0.231, 0.500, 0.718)

Computed properties:
Crystal system   monoclinic
Total magnetic moment   1.3 μB per formula unit
Energy relative to the elements   -0.167 eV/atom
DOS(E_F)   29.72 states/eV/cell
Calculated total energy   -5.968 eV/atom

=====

# 21
Compound: MgSc3Ni4
Source: the Alexandria database
Functional: PBE
Structure: relaxed

Cell lengths 4.4411, 4.4411, 21.7624 Å; angles 90.00, 90.00, 120.00 degrees
Space group R-3m (No. 166, hexagonal axes)
Inequivalent atoms, fractional coordinates:
Mg (0.0000, 0.0000, 0.0000)
Sc (0.0000, 0.0000, 0.2534)
Sc (0.0000, 0.0000, 0.5000)
Ni (0.0000, 0.0000, 0.1272)
Ni (0.0000, 0.0000, 0.3772)

Computed properties:
Crystal system   trigonal
Total magnetic moment   0.0 μB per formula unit
Energy relative to the elements   -0.434 eV/atom
DOS(E_F)   16.93 states/eV/cell
Calculated total energy   -5.899 eV/atom

=====

# 22
Compound: Mg2Sc5Ni2
Source: the Alexandria database
Functional: PBE
Structure: relaxed

Cell lengths 17.362, 6.692, 6.616 Å; angles 90.00, 90.00, 90.00 degrees
Space group Cmce (No. 64)
Inequivalent atoms, fractional coordinates:
Mg (0.233, 0.000, 0.000)
Sc (0.000, 0.000, 0.000)
Sc (0.112, 0.180, 0.325)
Ni (0.000, 0.128, 0.626)

Computed properties:
Crystal system   orthorhombic
Total magnetic moment   0.0 μB per formula unit
Energy relative to the elements   -0.201 eV/atom
DOS(E_F)   39.82 states/eV/cell
Calculated total energy   -5.358 eV/atom